Material: LiFe8O16
Method: DFT, PBE with a Hubbard U
State: relaxed

Summary:
**Space-group type**: P2
**Calculated total energy**: -148.29 eV per cell
**N(E_F)**: 2.78 states/eV per cell
**Size of the total moment**: 17.00 μB per formula unit

a = 2.936 Å, b = 10.180 Å, c = 9.714 Å
α = 90.49°, β = 90.00°, γ = 90.00°
Site moments in Bohr magnetons follow the coordinates.
Sites, in units of the cell vectors:
Li: 0.461 0.500 0.000  0.01
Fe: 0.988 0.665 0.837  2.68
Fe: 0.992 0.858 0.334  2.50
Fe: 0.490 0.159 0.348  2.52
Fe: 0.496 0.346 0.817  2.90
Fe: 0.988 0.335 0.163  2.68
Fe: 0.992 0.142 0.666  2.50
Fe: 0.490 0.841 0.652  2.52
Fe: 0.496 0.654 0.183  2.90
O: 0.990 0.715 0.645  -0.32
O: 0.990 0.958 0.680  -0.14
O: 0.990 0.671 0.311  -0.28
O: 0.986 0.643 0.039  -0.12
O: 0.488 0.209 0.157  -0.35
O: 0.488 0.457 0.187  -0.15
O: 0.493 0.157 0.797  -0.39
O: 0.492 0.147 0.541  -0.12
O: 0.990 0.285 0.355  -0.32
O: 0.990 0.042 0.320  -0.14
O: 0.990 0.329 0.689  -0.28
O: 0.986 0.357 0.961  -0.12
O: 0.488 0.791 0.843  -0.35
O: 0.488 0.543 0.813  -0.15
O: 0.493 0.843 0.203  -0.39
O: 0.492 0.853 0.459  -0.12